#one
Density functional theory data (PBE-GGA) for a relaxed structure of TlAsO2.

a b c (Å): 3.3407 3.3407 19.9198
angles (deg): 90.00 90.00 120.00
Space group R-3m (No. 166, hexagonal axes)
Inequivalent atoms, fractional coordinates:
Tl 0.0000 0.0000 0.0000 [3 per cell]
As 0.0000 0.0000 0.5000 [3 per cell]
O 0.0000 0.0000 0.3996 [6 per cell]

Calculated values
magnetic moment: 0.00 μB per cell
N(E_F): 0.2494 states/eV per atom

---

#two
Density functional theory data (PBE-GGA) for a relaxed structure of TlAsO2.

a b c (Å): 6.265 4.499 13.111
angles (deg): 90.00 110.22 90.00
Space group P2/c (No. 13)
Inequivalent atoms, fractional coordinates:
Tl 0.136 0.227 0.134 [4 per cell]
As 0.369 0.309 0.913 [4 per cell]
O 0.109 0.274 0.935 [4 per cell]
O 0.424 0.272 0.445 [4 per cell]

Calculated values
magnetic moment: 0.00 μB per cell
N(E_F): 0.0000 states/eV per atom

---

#three
Density functional theory data (PBE-GGA) for a relaxed structure of TlAsO2.

a b c (Å): 3.2567 3.2567 21.9070
angles (deg): 90.00 90.00 120.00
Space group R-3m (No. 166, hexagonal axes)
Inequivalent atoms, fractional coordinates:
Tl 0.0000 0.0000 0.0000 [3 per cell]
As 0.0000 0.0000 0.5000 [3 per cell]
O 0.0000 0.0000 0.1179 [6 per cell]

Calculated values
magnetic moment: 0.00 μB per cell
N(E_F): 0.4302 states/eV per atom

---

Stability, descending: #two, #three, #one

---

#one
Density functional theory data (PBE-GGA) for a relaxed structure of TlAsO2.

a b c (Å): 6.077 6.077 6.077
angles (deg): 90.00 90.00 90.00
Space group Fm-3m (No. 225)
Inequivalent atoms, fractional coordinates:
Tl 0.000 0.000 0.000 [4 per cell]
As 0.000 0.000 0.500 [4 per cell]
O 0.250 0.250 0.250 [8 per cell]

Calculated values
magnetic moment: 0.00 μB per cell
N(E_F): 0.4868 states/eV per atom

---

#two
Density functional theory data (PBE-GGA) for a relaxed structure of TlAsO2.

a b c (Å): 5.779 5.779 9.600
angles (deg): 90.00 90.00 90.00
Space group I-42d (No. 122)
Inequivalent atoms, fractional coordinates:
Tl 0.000 0.000 0.000 [4 per cell]
As 0.000 0.000 0.500 [4 per cell]
O 0.127 0.250 0.625 [8 per cell]

Calculated values
magnetic moment: 0.00 μB per cell
N(E_F): 0.0381 states/eV per atom

---

Stability, descending: #two, #one

---

#one
Density functional theory data (PBE-GGA) for a relaxed structure of Tm2AsO.

a b c (Å): 3.7302 3.7302 18.1382
angles (deg): 90.00 90.00 120.00
Space group R-3m (No. 166, hexagonal axes)
Inequivalent atoms, fractional coordinates:
Tm 0.0000 0.0000 0.2384 [6 per cell]
As 0.0000 0.0000 0.0000 [3 per cell]
O 0.0000 0.0000 0.5000 [3 per cell]

Calculated values
magnetic moment: 0.00 μB per cell
N(E_F): 0.4330 states/eV per atom

---

#two
Density functional theory data (PBE-GGA) for a relaxed structure of Tm2AsO.

a b c (Å): 3.9330 3.9330 20.6943
angles (deg): 90.00 90.00 120.00
Space group R3m (No. 160, hexagonal axes)
Inequivalent atoms, fractional coordinates:
Tm 0.0000 0.0000 0.0000 [3 per cell]
Tm 0.0000 0.0000 0.4673 [3 per cell]
As 0.0000 0.0000 0.8707 [3 per cell]
O 0.0000 0.0000 0.3539 [3 per cell]

Calculated values
magnetic moment: 1.73 μB per cell
N(E_F): 0.3550 states/eV per atom

---

Stability, descending: #one, #two